(1)
A relaxed structure of Tb12Dy2Ho5. Source: Alexandria, functional PBE-GGA.

Cell lengths 9.069, 9.069, 8.523 Å; angles 91.19, 91.19, 60.75 degrees
Fractional coordinates of all 19 atoms:
Tb1 0.059 0.059 0.337
Tb2 0.066 0.679 0.334
Tb3 0.166 0.528 0.760
Tb4 0.321 0.934 0.666
Tb5 0.413 0.413 0.118
Tb6 0.472 0.834 0.240
Tb7 0.528 0.166 0.760
Tb8 0.587 0.587 0.882
Tb9 0.679 0.066 0.334
Tb10 0.834 0.472 0.240
Tb11 0.934 0.321 0.666
Tb12 0.941 0.941 0.663
Dy1 0.175 0.825 0.000
Dy2 0.825 0.175 0.000
Ho1 0.200 0.200 0.016
Ho2 0.269 0.269 0.428
Ho3 0.500 0.500 0.500
Ho4 0.731 0.731 0.572
Ho5 0.800 0.800 0.984

Computed properties:
space-group type	C2/m, No. 12
DFT formation energy	0.127	eV per atom

(2)
A relaxed structure of ZrBe2Rh2. Source: Alexandria, functional PBE-GGA.

Cell lengths 9.203, 9.203, 9.203 Å; angles 155.17, 155.17, 35.40 degrees
Fractional coordinates of all 10 atoms:
Zr1 0.119 0.119 0.000
Zr2 0.881 0.881 0.000
Be1 0.250 0.750 0.500
Be2 0.433 0.433 0.000
Be3 0.567 0.567 0.000
Be4 0.750 0.250 0.500
Rh1 0.000 0.500 0.500
Rh2 0.306 0.306 0.000
Rh3 0.500 0.000 0.500
Rh4 0.694 0.694 0.000

Computed properties:
space-group type	I4/mmm, No. 139
DFT formation energy	-0.565	eV per atom

(3)
A relaxed structure of HoHgBr. Source: Alexandria, functional PBE-GGA.

Cell lengths 6.696, 3.826, 7.271 Å; angles 90.00, 102.49, 90.00 degrees
Fractional coordinates of all 6 atoms:
Ho1 0.005 0.250 0.218
Ho2 0.995 0.750 0.782
Hg1 0.329 0.250 0.981
Hg2 0.671 0.750 0.019
Br1 0.238 0.750 0.488
Br2 0.762 0.250 0.512

Computed properties:
ΔE_f (raw)	-0.85	eV per atom
space-group type	P2_1/m, No. 11

(4)
A relaxed structure of Sr3DyMg4. Source: Alexandria, functional PBE-GGA.

Cell lengths 4.019, 4.019, 16.825 Å; angles 90.00, 90.00, 90.00 degrees
Fractional coordinates of all 8 atoms:
Sr1 0.000 0.000 0.000
Sr2 0.000 0.000 0.264
Sr3 0.000 0.000 0.736
Dy1 0.000 0.000 0.500
Mg1 0.500 0.500 0.132
Mg2 0.500 0.500 0.398
Mg3 0.500 0.500 0.602
Mg4 0.500 0.500 0.868

Computed properties:
space-group type	P4/mmm, No. 123
DFT formation energy	-0.046	eV per atom

(5)
A relaxed structure of NaZr2NbTl. Source: Alexandria, functional PBE-GGA.

Cell lengths 5.454, 5.454, 5.326 Å; angles 90.00, 90.00, 90.00 degrees
Fractional coordinates of all 5 atoms:
Na1 0.000 0.000 0.000
Zr1 0.000 0.500 0.500
Zr2 0.500 0.000 0.500
Nb1 0.500 0.500 0.000
Tl1 0.500 0.500 0.500

Computed properties:
space-group type	P4/mmm, No. 123
DFT formation energy	1.449	eV per atom

(6)
A relaxed structure of NdSi3Au3. Source: Alexandria, functional PBE-GGA.

Cell lengths 6.820, 6.820, 6.820 Å; angles 90.00, 90.00, 90.00 degrees
Fractional coordinates of all 14 atoms:
Nd1 0.000 0.000 0.000
Nd2 0.500 0.500 0.500
Si1 0.000 0.250 0.500
Si2 0.000 0.750 0.500
Si3 0.250 0.500 0.000
Si4 0.500 0.000 0.250
Si5 0.500 0.000 0.750
Si6 0.750 0.500 0.000
Au1 0.000 0.500 0.250
Au2 0.000 0.500 0.750
Au3 0.250 0.000 0.500
Au4 0.500 0.250 0.000
Au5 0.500 0.750 0.000
Au6 0.750 0.000 0.500

Computed properties:
ΔE_f (raw)	-0.10	eV per atom
space-group type	Pm-3n, No. 223

(7)
A relaxed structure of BaP2ICl. Source: Alexandria, functional PBE-GGA.

Cell lengths 5.181, 5.181, 5.905 Å; angles 90.00, 90.00, 90.00 degrees
Fractional coordinates of all 5 atoms:
Ba1 0.000 0.000 0.000
P1 0.000 0.500 0.500
P2 0.500 0.000 0.500
I1 0.500 0.500 0.500
Cl1 0.500 0.500 0.000

Computed properties:
ΔE_f (raw)	0.03	eV per atom
space-group type	P4/mmm, No. 123

(8)
A relaxed structure of PmY2Ho2Tm. Source: Alexandria, functional PBE-GGA.

Cell lengths 6.483, 17.778, 3.409 Å; angles 90.00, 90.00, 90.00 degrees
Fractional coordinates of all 12 atoms:
Pm1 0.000 0.000 0.000
Pm2 0.500 0.500 0.500
Y1 0.221 0.187 0.000
Y2 0.279 0.687 0.500
Y3 0.721 0.313 0.500
Y4 0.779 0.813 0.000
Ho1 0.219 0.354 0.500
Ho2 0.281 0.854 0.000
Ho3 0.719 0.146 0.000
Ho4 0.781 0.646 0.500
Tm1 0.000 0.500 0.000
Tm2 0.500 0.000 0.500

Computed properties:
space-group type	Pnnm, No. 58
DFT formation energy	0.269	eV per atom

no.,D(E_F) (states/eV per cell),VASP energy (eV for the cell shown)
1,28.23,-85.237
2,5.26,-67.055
3,2.63,-18.191
4,8.01,-16.393
5,6.97,-23.605
6,7.95,-63.206
7,5.38,-15.978
8,19.92,-59.381